Density functional theory data (PBE) for a geometry-optimized NaHfAgS3 structure.

Values from the calculation:
E above lowest polymorph in eV/atom: 0.057
SG: No. 62

Cell: 3.735 11.329 11.952 Å, 90.00 90.00 90.00°
Element x y z (fractional)
Ag1 0.750 0.294 0.239
Ag2 0.250 0.794 0.261
Ag3 0.750 0.206 0.739
Ag4 0.250 0.706 0.761
Hf1 0.750 0.664 0.054
Hf2 0.250 0.164 0.446
Hf3 0.750 0.836 0.554
Hf4 0.250 0.336 0.946
Na1 0.750 0.000 0.138
Na2 0.250 0.500 0.362
Na3 0.750 0.500 0.638
Na4 0.250 0.000 0.862
S1 0.250 0.828 0.047
S2 0.750 0.422 0.071
S3 0.250 0.135 0.248
S4 0.750 0.635 0.252
S5 0.250 0.922 0.429
S6 0.750 0.328 0.453
S7 0.250 0.672 0.547
S8 0.750 0.078 0.571
S9 0.250 0.365 0.748
S10 0.750 0.865 0.752
S11 0.250 0.578 0.929
S12 0.750 0.172 0.953

***

Density functional theory data (PBE) for a geometry-optimized Li2FeH6Pd structure.

Values from the calculation:
SG: No. 146
Total energy in eV per cell: -38.8

Cell: 4.661 4.661 4.661 Å, 60.62 60.62 60.62°
Element x y z (fractional)
Fe1 0.002 0.002 0.002
H1 0.324 0.754 0.158
H2 0.845 0.679 0.233
H3 0.754 0.158 0.324
H4 0.233 0.845 0.679
H5 0.158 0.324 0.754
H6 0.679 0.233 0.845
Li1 0.251 0.251 0.251
Li2 0.754 0.754 0.754
Pd1 0.502 0.502 0.502

***

Density functional theory data (PBE) for a geometry-optimized TmBiAsO structure.

Values from the calculation:
E above lowest polymorph in eV/atom: 0.116
SG: No. 26

Cell: 4.826 6.534 6.440 Å, 90.00 90.00 90.00°
Element x y z (fractional)
As1 0.000 0.307 0.394
As2 0.000 0.693 0.894
Bi1 0.000 0.742 0.428
Bi2 0.000 0.258 0.928
O1 0.500 0.868 0.381
O2 0.500 0.132 0.881
Tm1 0.500 0.857 0.051
Tm2 0.500 0.143 0.551

***

Density functional theory data (PBE) for a geometry-optimized SmCu2S4 structure.

Values from the calculation:
SG: No. 15
Total energy in eV per cell: -68.1

Cell: 7.486 7.486 6.903 Å, 116.97 116.97 99.09°
Element x y z (fractional)
Cu1 0.000 0.500 0.000
Cu2 0.500 0.500 0.000
Cu3 0.500 0.000 0.500
Cu4 0.500 0.500 0.500
S1 0.470 0.828 0.117
S2 0.857 0.714 0.189
S3 0.286 0.143 0.311
S4 0.172 0.530 0.383
S5 0.828 0.470 0.617
S6 0.714 0.857 0.689
S7 0.143 0.286 0.811
S8 0.530 0.172 0.883
Sm1 0.875 0.125 0.250
Sm2 0.125 0.875 0.750

***

Density functional theory data (PBE) for a geometry-optimized HfTaAsC structure.

Values from the calculation:
E above lowest polymorph in eV/atom: 0.016
SG: No. 187

Cell: 3.368 3.368 12.227 Å, 90.00 90.00 120.00°
Element x y z (fractional)
As1 0.000 0.000 0.000
As2 0.333 0.667 0.500
C1 0.667 0.333 0.256
C2 0.667 0.333 0.744
Hf1 0.333 0.667 0.156
Hf2 0.333 0.667 0.844
Ta1 0.000 0.000 0.350
Ta2 0.000 0.000 0.650

***

Density functional theory data (PBE) for a geometry-optimized LiFeSnHg structure.

Values from the calculation:
E above lowest polymorph in eV/atom: 0.000
SG: No. 216

Cell: 4.601 4.601 4.601 Å, 60.00 60.00 60.00°
Element x y z (fractional)
Fe1 0.750 0.750 0.750
Hg1 0.500 0.500 0.500
Li1 0.250 0.250 0.250
Sn1 0.000 0.000 0.000

***

Density functional theory data (PBE) for a geometry-optimized Li2MgAu structure.

Values from the calculation:
SG: No. 115
Total energy in eV per cell: -20.8

Cell: 4.522 4.522 6.384 Å, 90.00 90.00 90.00°
Element x y z (fractional)
Au1 0.500 0.000 0.249
Au2 0.000 0.500 0.751
Li1 0.500 0.500 0.000
Li2 0.000 0.500 0.249
Li3 0.000 0.000 0.500
Li4 0.500 0.000 0.751
Mg1 0.000 0.000 0.000
Mg2 0.500 0.500 0.500

***

Density functional theory data (PBE) for a geometry-optimized LiHfPt2 structure.

Values from the calculation:
E above lowest polymorph in eV/atom: 0.235
SG: No. 194

Cell: 4.419 4.419 8.546 Å, 90.00 90.00 120.00°
Element x y z (fractional)
Hf1 0.000 0.000 0.000
Hf2 0.000 0.000 0.500
Li1 0.333 0.667 0.250
Li2 0.667 0.333 0.750
Pt1 0.667 0.333 0.096
Pt2 0.667 0.333 0.404
Pt3 0.333 0.667 0.596
Pt4 0.333 0.667 0.904

***

Density functional theory data (PBE) for a geometry-optimized LiCu3Te4Ir structure.

Values from the calculation:
SG: No. 215
Total energy in eV per cell: -34.7

Cell: 6.019 6.019 6.019 Å, 90.00 90.00 90.00°
Element x y z (fractional)
Cu1 0.500 0.000 0.000
Cu2 0.000 0.500 0.000
Cu3 0.000 0.000 0.500
Ir1 0.000 0.000 0.000
Li1 0.500 0.500 0.500
Te1 0.751 0.249 0.249
Te2 0.249 0.751 0.249
Te3 0.249 0.249 0.751
Te4 0.751 0.751 0.751

***

Density functional theory data (PBE) for a geometry-optimized PrGaTe structure.

Values from the calculation:
E above lowest polymorph in eV/atom: 0.000
SG: No. 216

Cell: 5.165 5.165 5.165 Å, 60.00 60.00 60.00°
Element x y z (fractional)
Ga1 0.250 0.250 0.250
Pr1 0.750 0.750 0.750
Te1 0.000 0.000 0.000

***

Density functional theory data (PBE) for a geometry-optimized Li2AgAu structure.

Values from the calculation:
E above lowest polymorph in eV/atom: 0.000
SG: No. 59

Cell: 6.170 4.448 8.891 Å, 90.00 90.00 90.00°
Element x y z (fractional)
Ag1 0.750 0.250 0.125
Ag2 0.250 0.750 0.375
Ag3 0.750 0.250 0.625
Ag4 0.250 0.750 0.875
Au1 0.250 0.250 0.125
Au2 0.750 0.750 0.375
Au3 0.250 0.250 0.625
Au4 0.750 0.750 0.875
Li1 0.000 0.750 0.125
Li2 0.500 0.750 0.125
Li3 0.000 0.250 0.375
Li4 0.500 0.250 0.375
Li5 0.500 0.750 0.625
Li6 0.000 0.750 0.625
Li7 0.500 0.250 0.875
Li8 0.000 0.250 0.875

***

Density functional theory data (PBE) for a geometry-optimized Tm3O structure.

Values from the calculation:
SG: No. 139
Total energy in eV per cell: -18.5

Cell: 6.728 6.728 6.728 Å, 146.16 146.16 48.60°
Element x y z (fractional)
O1 0.000 0.000 0.000
Tm1 0.500 0.500 0.000
Tm2 0.750 0.250 0.500
Tm3 0.250 0.750 0.500